[1]
! SiRh2Se, relaxed, DFT PBE; values from VASP
&SYSTEM
  ibrav = 0, nat = 4, ntyp = 3
/
ATOMIC_SPECIES
Rh 102.91 Rh.upf
Si 28.09 Si.upf
Se 78.96 Se.upf
ATOMIC_POSITIONS crystal
Rh 0.750 0.750 0.750
Rh 0.000 0.000 0.000
Si 0.250 0.250 0.250
Se 0.500 0.500 0.500
CELL_PARAMETERS angstrom
4.421 0.000 0.000
2.210 3.828 0.000
2.210 1.276 3.609
! N(E_F): 6.3 states/eV/cell
! excess energy over the best structure of this formula in the dataset: 0.736 eV/atom
! raw total energy: -5.64 eV/atom
! raw formation energy: 0.259 eV per atom


[2]
! NaZr2Se2, relaxed, DFT PBE; values from VASP
&SYSTEM
  ibrav = 0, nat = 10, ntyp = 3
/
ATOMIC_SPECIES
Na 22.99 Na.upf
Zr 91.22 Zr.upf
Se 78.96 Se.upf
ATOMIC_POSITIONS crystal
Na 0.000 0.000 0.000
Na 0.500 0.500 0.000
Zr 0.139 0.361 0.000
Zr 0.361 0.861 0.000
Zr 0.861 0.639 0.000
Zr 0.639 0.139 0.000
Se 0.649 0.851 0.500
Se 0.851 0.351 0.500
Se 0.149 0.649 0.500
Se 0.351 0.149 0.500
CELL_PARAMETERS angstrom
-1.614 -7.642 -0.761
1.273 -1.033 7.674
-3.311 0.636 0.635
! N(E_F): 10.0 states/eV/cell
! excess energy over the best structure of this formula in the dataset: 0.229 eV/atom
! raw total energy: -5.69 eV/atom
! raw formation energy: -0.613 eV per atom


[3]
! CdCuSN2, relaxed, DFT PBE; values from VASP
&SYSTEM
  ibrav = 0, nat = 5, ntyp = 4
/
ATOMIC_SPECIES
S 32.06 S.upf
N 14.01 N.upf
Cu 63.55 Cu.upf
Cd 112.41 Cd.upf
ATOMIC_POSITIONS crystal
S 0.000 0.000 0.500
N 0.000 0.500 0.000
N 0.500 0.000 0.000
Cu 0.500 0.500 0.500
Cd 0.000 0.000 0.000
CELL_PARAMETERS angstrom
-2.054 2.852 -2.223
-2.425 0.809 3.280
3.557 3.867 1.675
! N(E_F): 2.4 states/eV/cell
! excess energy over the best structure of this formula in the dataset: 0.674 eV/atom
! raw total energy: -3.23 eV/atom
! raw formation energy: 1.931 eV per atom


Look up the excess energy over the best structure of this formula in the dataset of the third one.
0.674 eV/atom